# 1
DFT (PBE) results for an optimized crystal structure of AsOs2Ru.

Output
Size of the total moment   0.00 μB/f.u.
Total energy   -0.3186 hartree per atom

a = 3.907 Å, b = 3.907 Å, c = 7.554 Å
α = 90.00°, β = 90.00°, γ = 90.00°
Space group I-4m2 (No. 119)
Symmetry-distinct sites (fractional):
1 As 0.000 0.000 0.000
2 Os 0.000 0.000 0.500
3 Os 0.000 0.500 0.750
4 Ru 0.000 0.500 0.250

# 2
DFT (PBE) results for an optimized crystal structure of AsOs2Ru.

Output
Size of the total moment   0.00 μB/f.u.
Total energy   -0.3215 hartree per atom

a = 2.925 Å, b = 4.425 Å, c = 8.878 Å
α = 90.00°, β = 90.00°, γ = 90.00°
Space group Imm2 (No. 44)
Symmetry-distinct sites (fractional):
1 As 0.000 0.000 0.000
2 Os 0.000 0.000 0.497
3 Os 0.000 0.500 0.724
4 Ru 0.000 0.500 0.280

# 3
DFT (PBE) results for an optimized crystal structure of As2OsRu.

Output
Size of the total moment   0.00 μB/f.u.
Offset from the most stable computed form   479.8 meV per atom

a = 2.987 Å, b = 5.196 Å, c = 8.110 Å
α = 90.00°, β = 90.00°, γ = 90.00°
Space group Immm (No. 71)
Symmetry-distinct sites (fractional):
1 As 0.000 0.000 0.250
2 Os 0.000 0.500 0.000
3 Ru 0.000 0.500 0.500

# 4
DFT (PBE) results for an optimized crystal structure of AsOs2Ru.

Output
Size of the total moment   0.00 μB/f.u.
Total energy   -0.3231 hartree per atom

a = 2.907 Å, b = 4.388 Å, c = 9.080 Å
α = 90.00°, β = 90.00°, γ = 90.00°
Space group Immm (No. 71)
Symmetry-distinct sites (fractional):
1 As 0.000 0.000 0.000
2 Os 0.000 0.500 0.282
3 Ru 0.000 0.000 0.500

# 5
DFT (PBE) results for an optimized crystal structure of As2OsRu.

Output
Size of the total moment   0.00 μB/f.u.
Offset from the most stable computed form   476.5 meV per atom

a = 2.991 Å, b = 5.208 Å, c = 8.081 Å
α = 90.00°, β = 90.00°, γ = 90.00°
Space group Cmmm (No. 65)
Symmetry-distinct sites (fractional):
1 As 0.000 0.000 0.248
2 Os 0.000 0.500 0.500
3 Ru 0.000 0.500 0.000

# 6
DFT (PBE) results for an optimized crystal structure of AsOsRu4.

Output
Size of the total moment   0.00 μB/f.u.
Total energy   -0.2923 hartree per atom

a = 7.185 Å, b = 7.185 Å, c = 7.185 Å
α = 90.00°, β = 90.00°, γ = 90.00°
Space group F-43m (No. 216)
Symmetry-distinct sites (fractional):
1 As 0.000 0.000 0.000
2 Os 0.250 0.250 0.750
3 Ru 0.125 0.125 0.375

# 7
DFT (PBE) results for an optimized crystal structure of AsOs2Ru.

Output
Size of the total moment   0.00 μB/f.u.
Total energy   -0.2993 hartree per atom

a = 5.544 Å, b = 5.544 Å, c = 10.954 Å
α = 90.00°, β = 90.00°, γ = 90.00°
Space group I-42d (No. 122)
Symmetry-distinct sites (fractional):
1 As 0.000 0.000 0.000
2 Os 0.246 0.250 0.625
3 Ru 0.000 0.000 0.500

# 8
DFT (PBE) results for an optimized crystal structure of As2OsRu.

Output
Size of the total moment   0.00 μB/f.u.
Offset from the most stable computed form   258.1 meV per atom

a = 5.504 Å, b = 5.504 Å, c = 10.923 Å
α = 90.00°, β = 90.00°, γ = 90.00°
Space group I-42d (No. 122)
Symmetry-distinct sites (fractional):
1 As 0.249 0.250 0.125
2 Os 0.000 0.000 0.000
3 Ru 0.000 0.000 0.500